Below is an optimized crystal structure of Ba2SrCrN4, with properties calculated at the PBE level.

a b c (Å): 5.987 8.135 6.233
angles (deg): 90.00 90.00 90.00
Element x y z (fractional)
Ba  0.250  0.007  0.216
Ba  0.250  0.493  0.216
Ba  0.750  0.507  0.784
Ba  0.750  0.993  0.784
Sr  0.250  0.250  0.727
Sr  0.750  0.750  0.273
Cr  0.250  0.750  0.802
Cr  0.750  0.250  0.198
N  0.016  0.750  0.977
N  0.250  0.567  0.653
N  0.250  0.933  0.653
N  0.484  0.750  0.977
N  0.516  0.250  0.023
N  0.750  0.067  0.347
N  0.750  0.433  0.347
N  0.984  0.250  0.023

Properties
energy relative to the elements, uncorrected	-0.77	eV per atom
magnetization	0.000	μB/f.u.